A plane-wave DFT calculation with GGA-PBEsol was carried out for a relaxed YZr2BeGe crystal.

The structure in POSCAR format:
```
YZr2BeGe
1.0
5.015 0.000 0.000
0.000 5.015 0.000
0.000 0.000 5.146
Be Y Zr Ge
1 1 2 1
direct
0.500 0.500 0.500
0.000 0.000 0.000
0.500 0.000 0.000
0.000 0.500 0.000
0.000 0.000 0.500
```

Computed properties:
* VASP energy: -25.95 eV per cell
* DFT formation energy: 1.599 eV per atom
* space group: P4/mmm
* V: 25.88 A^3/atom